# 1
Material: ZnFeBi
Method: DFT, PBE-GGA
State: optimized geometry

```
data_ZnFeBi
_cell_length_a 7.7913
_cell_length_b 7.7913
_cell_length_c 3.3555
_cell_angle_alpha 90.00
_cell_angle_beta 90.00
_cell_angle_gamma 120.00
_space_group_name_H-M_alt 'P -6 2 m'
_space_group_IT_number 189
_space_group_name_Hall 'P -6 -2'
loop_
_atom_site_label
_atom_site_type_symbol
_atom_site_fract_x
_atom_site_fract_y
_atom_site_fract_z
Zn1 Zn 0.0000 0.0000 0.0000
Zn2 Zn 0.3333 0.6667 0.5000
Fe1 Fe 0.0000 0.6105 0.0000
Bi1 Bi 0.0000 0.2961 0.5000
```

=====

# 2
Material: Zr6FeBi2
Method: DFT, PBE-GGA
State: optimized geometry

```
data_Zr6FeBi2
_cell_length_a 7.9522
_cell_length_b 7.9522
_cell_length_c 3.6545
_cell_angle_alpha 90.00
_cell_angle_beta 90.00
_cell_angle_gamma 120.00
_space_group_name_H-M_alt 'P -6 2 m'
_space_group_IT_number 189
_space_group_name_Hall 'P -6 -2'
loop_
_atom_site_label
_atom_site_type_symbol
_atom_site_fract_x
_atom_site_fract_y
_atom_site_fract_z
Zr1 Zr 0.0000 0.3895 0.0000
Zr2 Zr 0.0000 0.7644 0.5000
Fe1 Fe 0.0000 0.0000 0.0000
Bi1 Bi 0.3333 0.6667 0.5000
```

=====

# 3
Material: Hf2GaBiPt2
Method: DFT, PBE-GGA
State: optimized geometry

```
data_Hf2GaBiPt2
_cell_length_a 6.364
_cell_length_b 6.364
_cell_length_c 12.670
_cell_angle_alpha 90.00
_cell_angle_beta 90.00
_cell_angle_gamma 90.00
_space_group_name_H-M_alt 'I -4 2 d'
_space_group_IT_number 122
_space_group_name_Hall 'I -4 2bw'
loop_
_atom_site_label
_atom_site_type_symbol
_atom_site_fract_x
_atom_site_fract_y
_atom_site_fract_z
Hf1 Hf 0.000 0.000 0.244
Ga1 Ga 0.000 0.000 0.000
Bi1 Bi 0.000 0.000 0.500
Pt1 Pt 0.234 0.750 0.125
```

=====

| no. | electronic total energy (eV/atom) |
| --- | --- |
| 1 | -3.94 |
| 2 | -7.84 |
| 3 | -7.34 |